DFT (PBE-GGA) results for InNiW2 after structural relaxation.

Cell: 10.282 10.282 10.282 Å, 159.08 159.08 29.76°
Element x y z (fractional)
In 0.000 0.000 0.000
In 0.750 0.250 0.500
Ni 0.250 0.750 0.500
Ni 0.500 0.500 0.000
W 0.129 0.625 0.004
W 0.375 0.379 0.504
W 0.621 0.125 0.996
W 0.875 0.871 0.496

Calculated values
ΔH_f (0 K)   790 meV/atom
Total moment   0.00 Bohr magnetons per cell
Density of states at the Fermi level   1.065 states/eV/atom
Crystal system   tetragonal


DFT (PBE-GGA) results for InNiW2 after structural relaxation.

Cell: 5.240 5.240 2.758 Å, 96.70 96.70 119.17°
Element x y z (fractional)
In 0.000 0.000 0.000
Ni 0.500 0.500 0.000
W 0.000 0.500 0.500
W 0.500 0.000 0.500

Calculated values
ΔH_f (0 K)   476 meV/atom
Total moment   0.29 Bohr magnetons per cell
Density of states at the Fermi level   1.110 states/eV/atom
Crystal system   monoclinic


DFT (PBE-GGA) results for InNiW2 after structural relaxation.

Cell: 2.768 4.287 5.430 Å, 90.00 96.49 90.00°
Element x y z (fractional)
In 0.000 0.000 0.000
Ni 0.000 0.000 0.500
W 0.450 0.500 0.728
W 0.550 0.500 0.272

Calculated values
ΔH_f (0 K)   404 meV/atom
Total moment   0.00 Bohr magnetons per cell
Density of states at the Fermi level   0.553 states/eV/atom
Crystal system   monoclinic


DFT (PBE-GGA) results for InNiW2 after structural relaxation.

Cell: 2.779 2.779 8.564 Å, 90.00 90.00 104.40°
Element x y z (fractional)
In 0.000 0.000 0.000
Ni 0.500 0.500 0.758
W 0.000 0.000 0.541
W 0.500 0.500 0.284

Calculated values
ΔH_f (0 K)   261 meV/atom
Total moment   0.00 Bohr magnetons per cell
Density of states at the Fermi level   0.643 states/eV/atom
Crystal system   orthorhombic


DFT (PBE-GGA) results for InNiW2 after structural relaxation.

Cell: 9.330 9.330 9.330 Å, 17.58 17.58 17.58°
Element x y z (fractional)
In 0.000 0.000 0.000
Ni 0.500 0.500 0.500
W 0.242 0.242 0.242
W 0.758 0.758 0.758

Calculated values
ΔH_f (0 K)   517 meV/atom
Total moment   0.00 Bohr magnetons per cell
Density of states at the Fermi level   0.730 states/eV/atom
Crystal system   trigonal


DFT (PBE-GGA) results for InNiW2 after structural relaxation.

Cell: 4.819 4.819 4.819 Å, 130.17 130.17 73.14°
Element x y z (fractional)
In 0.000 0.000 0.000
Ni 0.250 0.750 0.500
W 0.500 0.500 0.000
W 0.750 0.250 0.500

Calculated values
ΔH_f (0 K)   439 meV/atom
Total moment   0.00 Bohr magnetons per cell
Density of states at the Fermi level   0.761 states/eV/atom
Crystal system   tetragonal


DFT (PBE-GGA) results for In2NiW2 after structural relaxation.

Cell: 7.447 7.447 3.455 Å, 90.00 90.00 90.00°
Element x y z (fractional)
In 0.179 0.321 0.000
In 0.321 0.821 0.000
In 0.679 0.179 0.000
In 0.821 0.679 0.000
Ni 0.000 0.000 0.000
Ni 0.500 0.500 0.000
W 0.115 0.615 0.500
W 0.385 0.115 0.500
W 0.615 0.885 0.500
W 0.885 0.385 0.500

Calculated values
ΔH_f (0 K)   956 meV/atom
Energy above the most stable polymorph in this dataset   170 meV/atom
Total moment   0.00 Bohr magnetons per cell
Density of states at the Fermi level   0.476 states/eV/atom
Crystal system   tetragonal


DFT (PBE-GGA) results for InNiW2 after structural relaxation.

Cell: 2.785 4.254 5.549 Å, 90.00 99.38 90.00°
Element x y z (fractional)
In 0.000 0.000 0.000
Ni 0.094 0.500 0.262
W 0.416 0.500 0.728
W 0.652 0.000 0.482

Calculated values
ΔH_f (0 K)   352 meV/atom
Total moment   0.00 Bohr magnetons per cell
Density of states at the Fermi level   0.816 states/eV/atom
Crystal system   monoclinic


DFT (PBE-GGA) results for InNiW2 after structural relaxation.

Cell: 4.501 4.501 4.501 Å, 60.00 60.00 60.00°
Element x y z (fractional)
In 0.000 0.000 0.000
Ni 0.250 0.250 0.250
W 0.500 0.500 0.500
W 0.750 0.750 0.750

Calculated values
ΔH_f (0 K)   463 meV/atom
Total moment   0.00 Bohr magnetons per cell
Density of states at the Fermi level   0.778 states/eV/atom
Crystal system   cubic


DFT (PBE-GGA) results for In3NiW after structural relaxation.

Cell: 5.266 5.266 5.266 Å, 90.00 90.00 90.00°
Element x y z (fractional)
In 0.000 0.000 0.500
In 0.000 0.500 0.000
In 0.500 0.000 0.000
Ni 0.500 0.500 0.500
W 0.000 0.000 0.000

Calculated values
ΔH_f (0 K)   1265 meV/atom
Total moment   1.49 Bohr magnetons per cell
Density of states at the Fermi level   1.471 states/eV/atom
Crystal system   cubic


DFT (PBE-GGA) results for InNiW2 after structural relaxation.

Cell: 3.545 4.022 4.465 Å, 90.00 90.00 90.00°
Element x y z (fractional)
In 0.000 0.000 0.000
Ni 0.500 0.500 0.000
W 0.000 0.500 0.500
W 0.500 0.000 0.500

Calculated values
ΔH_f (0 K)   343 meV/atom
Total moment   0.00 Bohr magnetons per cell
Density of states at the Fermi level   0.787 states/eV/atom
Crystal system   orthorhombic


DFT (PBE-GGA) results for In2Ni2W after structural relaxation.

Cell: 7.220 7.220 3.022 Å, 90.00 90.00 90.00°
Element x y z (fractional)
In 0.171 0.329 0.000
In 0.329 0.829 0.000
In 0.671 0.171 0.000
In 0.829 0.671 0.000
Ni 0.126 0.626 0.500
Ni 0.374 0.126 0.500
Ni 0.626 0.874 0.500
Ni 0.874 0.374 0.500
W 0.000 0.000 0.500
W 0.500 0.500 0.500

Calculated values
ΔH_f (0 K)   312 meV/atom
Total moment   0.00 Bohr magnetons per cell
Density of states at the Fermi level   0.774 states/eV/atom
Crystal system   tetragonal


Repeat the seventh record exactly.
DFT (PBE-GGA) results for In2NiW2 after structural relaxation.

Cell: 7.447 7.447 3.455 Å, 90.00 90.00 90.00°
Element x y z (fractional)
In 0.179 0.321 0.000
In 0.321 0.821 0.000
In 0.679 0.179 0.000
In 0.821 0.679 0.000
Ni 0.000 0.000 0.000
Ni 0.500 0.500 0.000
W 0.115 0.615 0.500
W 0.385 0.115 0.500
W 0.615 0.885 0.500
W 0.885 0.385 0.500

Calculated values
ΔH_f (0 K)   956 meV/atom
Energy above the most stable polymorph in this dataset   170 meV/atom
Total moment   0.00 Bohr magnetons per cell
Density of states at the Fermi level   0.476 states/eV/atom
Crystal system   tetragonal


Question: Which of these has the highest total moment?
Answer: In3NiW


Question: The lowest ΔH_f (0 K) belongs to which entry?
Answer: number 4


Repeat the fourth record exactly.
DFT (PBE-GGA) results for InNiW2 after structural relaxation.

Cell: 2.779 2.779 8.564 Å, 90.00 90.00 104.40°
Element x y z (fractional)
In 0.000 0.000 0.000
Ni 0.500 0.500 0.758
W 0.000 0.000 0.541
W 0.500 0.500 0.284

Calculated values
ΔH_f (0 K)   261 meV/atom
Total moment   0.00 Bohr magnetons per cell
Density of states at the Fermi level   0.643 states/eV/atom
Crystal system   orthorhombic